First-principles (SCAN) data for a PBEsol-optimized structure of TlCuOs2, as listed in Alexandria.

Output
- magnetic moment (μB per formula unit) = 2.026
- ΔH_f (0 K) (eV/atom) = 1.161
- total energy (eV/atom) = -56.668
- excess energy over the best structure of this formula in the dataset (kJ per mole of atoms) = 24.9

a = 6.2349 Å, b = 6.2349 Å, c = 6.2349 Å
α = 90.00°, β = 90.00°, γ = 90.00°
Space group Fm-3m (No. 225)
Asymmetric unit:
Tl  0.0000  0.0000  0.0000 [4 per cell]
Cu  0.0000  0.0000  0.5000 [4 per cell]
Os  0.2500  0.2500  0.2500 [8 per cell]